Record 1
Below is a relaxed LuScO3 crystal, with properties calculated at the GGA-PBEsol level.

```
data_LuScO3
_chemical_formula_sum 'Lu4 Sc4 O12'
_cell_length_a 5.611
_cell_length_b 7.833
_cell_length_c 5.297
_cell_angle_alpha 90.00
_cell_angle_beta 90.00
_cell_angle_gamma 90.00
_space_group_name_H-M_alt 'P 1'
_space_group_IT_number 1
_space_group_name_Hall 'P 1'
loop_
_atom_site_label
_atom_site_type_symbol
_atom_site_fract_x
_atom_site_fract_y
_atom_site_fract_z
Lu1 Lu 0.065 0.250 0.023
Lu2 Lu 0.435 0.750 0.523
Lu3 Lu 0.565 0.250 0.477
Lu4 Lu 0.935 0.750 0.977
Sc1 Sc 0.000 0.000 0.500
Sc2 Sc 0.000 0.500 0.500
Sc3 Sc 0.500 0.000 0.000
Sc4 Sc 0.500 0.500 0.000
O1 O 0.067 0.750 0.357
O2 O 0.192 0.575 0.812
O3 O 0.192 0.925 0.812
O4 O 0.308 0.075 0.312
O5 O 0.308 0.425 0.312
O6 O 0.433 0.250 0.857
O7 O 0.567 0.750 0.143
O8 O 0.692 0.575 0.688
O9 O 0.692 0.925 0.688
O10 O 0.808 0.075 0.188
O11 O 0.808 0.425 0.188
O12 O 0.933 0.250 0.643
```

Output
**Crystal system**: orthorhombic

=====

Record 2
Below is a relaxed LuScO3 crystal, with properties calculated at the GGA-PBEsol level.

```
data_LuScO3
_chemical_formula_sum 'Lu6 Sc6 O18'
_cell_length_a 6.035
_cell_length_b 6.035
_cell_length_c 11.956
_cell_angle_alpha 90.00
_cell_angle_beta 90.00
_cell_angle_gamma 120.00
_space_group_name_H-M_alt 'P 1'
_space_group_IT_number 1
_space_group_name_Hall 'P 1'
loop_
_atom_site_label
_atom_site_type_symbol
_atom_site_fract_x
_atom_site_fract_y
_atom_site_fract_z
Lu1 Lu 0.000 0.000 0.000
Lu2 Lu 0.000 0.000 0.500
Lu3 Lu 0.333 0.667 0.040
Lu4 Lu 0.333 0.667 0.540
Lu5 Lu 0.667 0.333 0.040
Lu6 Lu 0.667 0.333 0.540
Sc1 Sc 0.000 0.333 0.273
Sc2 Sc 0.000 0.667 0.773
Sc3 Sc 0.333 0.000 0.273
Sc4 Sc 0.333 0.333 0.773
Sc5 Sc 0.667 0.000 0.773
Sc6 Sc 0.667 0.667 0.273
O1 O 0.000 0.000 0.303
O2 O 0.000 0.000 0.803
O3 O 0.000 0.305 0.102
O4 O 0.000 0.363 0.442
O5 O 0.000 0.637 0.942
O6 O 0.000 0.695 0.602
O7 O 0.305 0.000 0.102
O8 O 0.305 0.305 0.602
O9 O 0.333 0.667 0.248
O10 O 0.333 0.667 0.748
O11 O 0.363 0.000 0.442
O12 O 0.363 0.363 0.942
O13 O 0.637 0.000 0.942
O14 O 0.637 0.637 0.442
O15 O 0.667 0.333 0.248
O16 O 0.667 0.333 0.748
O17 O 0.695 0.000 0.602
O18 O 0.695 0.695 0.102
```

Output
**Crystal system**: hexagonal

=====

In Å³ per atom, the V values for the records above are, in order, 11.64, 12.57.
In eV/atom, the uncorrected energy values for the records above are, in order, -9.078, -9.086.